Compound: BW2Cl
Source: Alexandria
Functional: PBE-GGA
Structure: optimized geometry

Summary:
Symmetry ... No. 225
Energy above the lowest structure with this stoichiometry ... 0 meV/atom
Magnetic moment ... 0.000 μB per cell
ΔE_f (raw) ... 0.9577 eV/atom
Final energy ... -7.650 eV per atom

a = 4.151 Å, b = 4.151 Å, c = 4.151 Å
α = 60.00°, β = 60.00°, γ = 60.00°
Positions (direct):
B (0.000, 0.000, 0.000)
W (0.250, 0.250, 0.250)
W (0.750, 0.750, 0.750)
Cl (0.500, 0.500, 0.500)